Record 1
Computed, not measured: a relaxed Cd5In2Hg12 crystal at the PBE-GGA level of DFT.

Computed properties:
**Distance to the lowest polymorph of the same formula**: 0 meV per atom
**D(E_F)**: 5.10 states/eV/cell
**Energy of formation from the pure elements**: 0.028 eV/atom
**Calculated total energy**: -13.1 eV for the cell shown

Unit cell a=6.936 b=10.329 c=10.329 alpha=43.57 beta=97.13 gamma=97.13
Sites, in units of the cell vectors:
Cd  0.487  0.756  0.756
Cd  0.500  0.000  0.000
Cd  0.513  0.244  0.244
Cd  0.900  0.346  0.346
Cd  0.100  0.654  0.654
Hg  0.672  0.558  0.558
Hg  0.905  0.106  0.106
Hg  0.373  0.338  0.884
Hg  0.328  0.442  0.442
Hg  0.798  0.934  0.485
Hg  0.202  0.066  0.515
Hg  0.095  0.894  0.894
Hg  0.627  0.116  0.662
Hg  0.202  0.515  0.066
Hg  0.373  0.884  0.338
Hg  0.798  0.485  0.934
Hg  0.627  0.662  0.116
In  0.000  0.275  0.725
In  0.000  0.725  0.275

---

Record 2
Computed, not measured: a relaxed Cd3In7Hg crystal at the PBE-GGA level of DFT.

Computed properties:
**D(E_F)**: 3.65 states/eV/cell
**Energy of formation from the pure elements**: 0.080 eV/atom
**Calculated total energy**: -21.3 eV for the cell shown

Unit cell a=5.783 b=7.990 c=7.990 alpha=89.63 beta=113.80 gamma=113.80
Sites, in units of the cell vectors:
Cd  0.000  0.236  0.764
Cd  0.500  0.000  0.000
Cd  0.000  0.764  0.236
In  0.000  0.500  0.500
In  0.326  0.057  0.596
In  0.233  0.180  0.180
In  0.767  0.820  0.820
In  0.326  0.596  0.057
In  0.674  0.404  0.943
In  0.674  0.943  0.404
Hg  0.500  0.500  0.500

---

Record 3
Computed, not measured: a relaxed CdIn17Hg11 crystal at the PBE-GGA level of DFT.

Computed properties:
**D(E_F)**: 8.70 states/eV/cell
**Energy of formation from the pure elements**: 0.018 eV/atom
**Calculated total energy**: -50.3 eV for the cell shown

Unit cell a=13.291 b=13.130 c=8.774 alpha=83.32 beta=122.71 gamma=136.54
Sites, in units of the cell vectors:
In  0.791  0.561  0.839
In  0.455  0.241  0.946
In  0.941  0.244  0.603
In  0.971  0.036  0.460
In  0.860  0.085  0.889
In  0.172  0.989  0.107
In  0.626  0.993  0.014
In  0.990  0.506  0.464
In  0.606  0.605  0.245
In  0.717  0.758  0.656
In  0.639  0.385  0.418
In  0.443  0.467  0.766
In  0.372  0.623  0.903
In  0.142  0.486  0.068
In  0.523  0.073  0.196
In  0.400  0.722  0.564
In  0.310  0.933  0.646
Hg  0.795  0.341  0.024
Hg  0.223  0.791  0.266
Hg  0.867  0.645  0.237
Hg  0.125  0.682  0.852
Hg  0.846  0.866  0.085
Hg  0.071  0.326  0.353
Hg  0.185  0.213  0.916
Hg  0.582  0.856  0.341
Hg  0.333  0.172  0.515
Hg  0.667  0.182  0.633
Hg  0.029  0.849  0.676
Cd  0.320  0.371  0.320

---

Record 4
Computed, not measured: a relaxed Cd2In3Hg8 crystal at the PBE-GGA level of DFT.

Computed properties:
**Distance to the lowest polymorph of the same formula**: 63 meV per atom
**D(E_F)**: 5.11 states/eV/cell
**Energy of formation from the pure elements**: 0.090 eV/atom
**Calculated total energy**: -11.3 eV for the cell shown

Unit cell a=6.283 b=6.283 c=11.364 alpha=73.95 beta=73.95 gamma=60.00
Sites, in units of the cell vectors:
In  0.815  0.815  0.556
In  0.185  0.185  0.444
In  0.000  0.000  0.000
Hg  0.727  0.227  0.318
Hg  0.227  0.727  0.318
Hg  0.273  0.273  0.682
Hg  0.722  0.722  0.833
Hg  0.773  0.273  0.682
Hg  0.727  0.727  0.318
Hg  0.273  0.773  0.682
Hg  0.278  0.278  0.167
Cd  0.635  0.635  0.094
Cd  0.365  0.365  0.906

---

Record 5
Computed, not measured: a relaxed Cd4In3Hg5 crystal at the PBE-GGA level of DFT.

Computed properties:
**Distance to the lowest polymorph of the same formula**: 29 meV per atom
**D(E_F)**: 4.64 states/eV/cell
**Energy of formation from the pure elements**: 0.056 eV/atom
**Calculated total energy**: -12.7 eV for the cell shown

Unit cell a=5.822 b=6.474 c=10.022 alpha=88.55 beta=73.11 gamma=63.28
Sites, in units of the cell vectors:
Hg  0.500  0.500  0.500
Hg  0.280  0.628  0.813
Hg  0.314  0.294  0.079
Hg  0.686  0.706  0.921
Hg  0.720  0.372  0.187
In  0.582  0.101  0.735
In  0.418  0.899  0.265
In  0.000  0.500  0.500
Cd  0.801  0.984  0.414
Cd  0.199  0.016  0.586
Cd  0.969  0.176  0.887
Cd  0.031  0.824  0.113

---

Record 6
Computed, not measured: a relaxed Cd3In8Hg2 crystal at the PBE-GGA level of DFT.

Computed properties:
**Distance to the lowest polymorph of the same formula**: 0 meV per atom
**D(E_F)**: 5.19 states/eV/cell
**Energy of formation from the pure elements**: 0.054 eV/atom
**Calculated total energy**: -24.5 eV for the cell shown

Unit cell a=6.711 b=6.137 c=9.848 alpha=108.16 beta=113.92 gamma=90.00
Sites, in units of the cell vectors:
Cd  0.500  0.000  0.000
Cd  0.000  0.248  0.000
Cd  0.000  0.752  0.000
Hg  0.724  0.567  0.133
Hg  0.276  0.433  0.867
In  0.983  0.849  0.698
In  0.133  0.715  0.429
In  0.017  0.151  0.302
In  0.532  0.101  0.700
In  0.468  0.899  0.300
In  0.532  0.599  0.700
In  0.468  0.401  0.300
In  0.867  0.285  0.571

---

Record 7
Computed, not measured: a relaxed Cd9InHg2 crystal at the PBE-GGA level of DFT.

Computed properties:
**Distance to the lowest polymorph of the same formula**: 16 meV per atom
**D(E_F)**: 3.02 states/eV/cell
**Energy of formation from the pure elements**: 0.038 eV/atom
**Calculated total energy**: -11.1 eV for the cell shown

Unit cell a=3.097 b=10.374 c=10.374 alpha=120.00 beta=90.00 gamma=90.00
Sites, in units of the cell vectors:
Cd  0.000  0.000  0.500
Cd  0.500  0.173  0.827
Cd  0.500  0.173  0.346
Cd  0.500  0.827  0.654
Cd  0.500  0.654  0.827
Cd  0.000  0.500  0.500
Cd  0.500  0.827  0.173
Cd  0.000  0.500  0.000
Cd  0.500  0.346  0.173
In  0.000  0.000  0.000
Hg  0.000  0.333  0.667
Hg  0.000  0.667  0.333

---

Record 8
Computed, not measured: a relaxed CdIn2Hg crystal at the PBE-GGA level of DFT.

Computed properties:
**Distance to the lowest polymorph of the same formula**: 31 meV per atom
**D(E_F)**: 1.82 states/eV/cell
**Energy of formation from the pure elements**: 0.037 eV/atom
**Calculated total energy**: -6.5 eV for the cell shown

Unit cell a=6.111 b=6.111 c=6.111 alpha=144.56 beta=126.93 gamma=65.44
Sites, in units of the cell vectors:
Cd  0.750  0.250  0.500
Hg  0.250  0.750  0.500
In  0.499  0.499  0.000
In  0.001  0.001  0.000